Compound: LiErNi4
Source: OQMD
Functional: PBE
Structure: relaxed Values from VASP.

**Magnetic moment**: 0.08 μB/f.u.
**Total energy**: -5.15 eV/atom
**Volume**: 80.94 Å³ per cell

Cell and atoms, written as Quantum ESPRESSO input:
```
&SYSTEM
  ibrav = 0, nat = 6, ntyp = 3
/
ATOMIC_SPECIES
Ni 58.69 Ni.upf
Er 167.26 Er.upf
Li 6.94 Li.upf
ATOMIC_POSITIONS angstrom
Ni -1.3890 -6.4182 -0.6259
Ni -1.0884 -4.1056 -1.3388
Er -2.1800 -8.2234 -2.6817
Ni -2.8393 -5.4735 -2.3438
Li 0.0000 0.0000 0.0000
Ni -0.4967 -5.9318 -2.8427
CELL_PARAMETERS angstrom
-0.5986 -4.6046 1.4195
-3.4862 -2.7237 -2.0009
1.1781 -3.6363 -2.9942
```

Compound: LiEr3Ni8
Source: OQMD
Functional: PBE
Structure: relaxed Values from VASP.

**Magnetic moment**: 0.04 μB/f.u.
**Total energy**: -5.44 eV/atom
**Volume**: 171.53 Å³ per cell

Cell and atoms, written as Quantum ESPRESSO input:
```
&SYSTEM
  ibrav = 0, nat = 12, ntyp = 3
/
ATOMIC_SPECIES
Er 167.26 Er.upf
Ni 58.69 Ni.upf
Li 6.94 Li.upf
ATOMIC_POSITIONS angstrom
Er -0.0458 -0.1483 0.1360
Ni -0.0258 -4.6757 3.3030
Ni -2.4448 -4.2568 2.9454
Er -2.6545 -8.5976 7.8846
Li -0.6975 -2.2590 2.0716
Er -3.3496 -10.8487 9.9491
Ni -0.9025 -6.6193 7.0378
Ni -1.6800 -5.4411 4.9899
Ni -1.2188 -3.0169 4.7101
Ni -3.3444 -6.1964 6.6768
Ni -4.3691 -14.1506 12.9772
Ni -2.1402 -7.8708 5.2564
CELL_PARAMETERS angstrom
-4.2179 -6.3562 3.9171
0.6080 -7.1920 4.6305
-1.7719 -3.8827 7.4378
```

Compound: LiErNi
Source: OQMD
Functional: PBE
Structure: relaxed Values from VASP.

**Energy above the most stable polymorph in this dataset**: 0.0000 eV per atom
**Magnetic moment**: 0.00 μB/f.u.
**Volume**: 60.51 Å³ per cell

Cell and atoms, written as Quantum ESPRESSO input:
```
&SYSTEM
  ibrav = 0, nat = 3, ntyp = 3
/
ATOMIC_SPECIES
Ni 58.69 Ni.upf
Li 6.94 Li.upf
Er 167.26 Er.upf
ATOMIC_POSITIONS angstrom
Ni 0.0000 0.0000 0.0000
Li 1.2306 -7.9929 -0.3741
Er 0.4102 -2.6643 -0.1247
CELL_PARAMETERS angstrom
1.9404 -3.4373 1.9593
-1.9627 -3.9455 -0.0225
1.6630 -3.2744 -2.4357
```

Compound: LiErNiSe3
Source: OQMD
Functional: PBE
Structure: relaxed Values from VASP.

**Magnetic moment**: 0.05 μB/f.u.
**Total energy**: -4.83 eV/atom
**Volume**: 255.81 Å³ per cell

Cell and atoms, written as Quantum ESPRESSO input:
```
&SYSTEM
  ibrav = 0, nat = 12, ntyp = 4
/
ATOMIC_SPECIES
Se 78.96 Se.upf
Er 167.26 Er.upf
Ni 58.69 Ni.upf
Li 6.94 Li.upf
ATOMIC_POSITIONS angstrom
Se 5.1155 -3.2694 2.5808
Se 2.1887 -4.2344 0.0283
Er 3.3363 -1.3722 3.6633
Se 3.6609 -3.4744 -3.3871
Ni 6.0175 -3.7693 -3.2845
Ni 4.9406 -3.8718 4.8737
Se 5.8426 -4.3717 -0.9915
Er 0.0000 0.0000 0.0000
Se 8.7694 -3.4067 1.5609
Se 7.2972 -4.1667 4.9763
Li 4.1933 -2.1851 -1.0297
Li 6.7648 -5.4560 2.6189
CELL_PARAMETERS angstrom
-0.4150 -3.6620 -0.9938
4.7006 -1.2348 -4.7435
6.6725 -2.7444 7.3265
```

Compound: LiErNiTe3
Source: OQMD
Functional: PBE
Structure: relaxed Values from VASP.

**Magnetic moment**: 0.00 μB/f.u.
**Total energy**: -4.37 eV/atom
**Volume**: 309.84 Å³ per cell

Cell and atoms, written as Quantum ESPRESSO input:
```
&SYSTEM
  ibrav = 0, nat = 12, ntyp = 4
/
ATOMIC_SPECIES
Li 6.94 Li.upf
Te 127.60 Te.upf
Er 167.26 Er.upf
Ni 58.69 Ni.upf
ATOMIC_POSITIONS angstrom
Li -0.2518 -11.2214 2.5795
Te 1.8044 -9.5854 5.5807
Te 3.5362 -9.7483 8.5204
Er 2.6644 -0.2507 4.5228
Te 1.4551 -5.4118 3.8805
Te 2.1326 -13.4334 7.1586
Li 3.5113 -3.7757 6.8817
Ni 0.3219 -7.2022 2.4643
Ni 2.9375 -7.7950 6.9969
Te -0.2767 -5.2489 0.9408
Er 0.0000 0.0000 0.0000
Te 1.1269 -1.5637 2.3026
CELL_PARAMETERS angstrom
-2.7458 -6.9743 1.2310
0.6764 -7.5215 -0.8154
5.3288 -0.5014 9.0456
```

Compound: LiErNp
Source: OQMD
Functional: PBE
Structure: relaxed Values from VASP.

**Energy above the most stable polymorph in this dataset**: 0.0000 eV per atom
**Magnetic moment**: 6.00 μB/f.u.
**Volume**: 82.95 Å³ per cell

Cell and atoms, written as Quantum ESPRESSO input:
```
&SYSTEM
  ibrav = 0, nat = 3, ntyp = 3
/
ATOMIC_SPECIES
Li 6.94 Li.upf
Np 237.00 Np.upf
Er 167.26 Er.upf
ATOMIC_POSITIONS angstrom
Li 0.0000 0.0000 0.0000
Np -7.7245 3.0929 -3.4127
Er -2.5748 1.0310 -1.1376
CELL_PARAMETERS angstrom
-4.4689 1.6709 1.0962
-2.0396 3.5105 -2.7351
-3.7908 -1.0575 -2.9114
```

Compound: Li8Er4O11
Source: OQMD
Functional: PBE
Structure: relaxed Values from VASP.

**Energy above the most stable polymorph in this dataset**: 0.0042 eV per atom
**Magnetic moment**: 2.00 μB/f.u.
**Volume**: 259.13 Å³ per cell

Cell and atoms, written as Quantum ESPRESSO input:
```
&SYSTEM
  ibrav = 0, nat = 23, ntyp = 3
/
ATOMIC_SPECIES
O 16.00 O.upf
Er 167.26 Er.upf
Li 6.94 Li.upf
ATOMIC_POSITIONS angstrom
O -2.8540 -6.5113 -3.5456
Er -3.8355 -1.6530 -4.6872
O -0.8763 0.0103 -1.2447
O -0.1843 -1.5133 -3.8327
Li -4.6148 -6.3484 -2.4586
O -6.3235 -3.3213 -1.2240
Li -4.7421 -3.7712 -2.4188
Li -0.8450 0.1779 -4.6282
Li -2.2425 -4.7181 -2.4720
Er -2.7706 3.2753 -0.0982
Li -1.6062 -1.3013 -2.5786
Li -7.2986 -4.9184 -2.4593
Li -1.8383 1.3161 -2.3581
O -5.5911 -4.9369 -3.6963
O -3.6745 1.5953 -1.3133
O -6.4293 -6.5992 -1.3321
O -2.7940 -3.1549 -3.4905
O -3.6661 -4.9300 -1.1592
Er -0.9025 -3.3995 -4.6534
O -2.7398 -0.0324 -3.6456
O -0.0686 1.6977 -3.5902
Er -5.5346 -8.2203 -0.0568
Li -5.5454 -4.9783 -0.1227
CELL_PARAMETERS angstrom
-5.5431 -9.8477 -0.0328
-2.7374 4.9047 -0.0687
1.7930 0.0320 -4.7583
```

Compound: LiErO2
Source: OQMD
Functional: PBE
Structure: relaxed Values from VASP.

**Energy above the most stable polymorph in this dataset**: 0.0000 eV per atom
**Magnetic moment**: 0.00 μB/f.u.
**Volume**: 192.59 Å³ per cell

Cell and atoms, written as Quantum ESPRESSO input:
```
&SYSTEM
  ibrav = 0, nat = 16, ntyp = 3
/
ATOMIC_SPECIES
Li 6.94 Li.upf
Er 167.26 Er.upf
O 16.00 O.upf
ATOMIC_POSITIONS angstrom
Li -6.5525 1.3754 2.2079
Er -2.4485 -1.5742 2.4019
O -8.1559 1.9708 3.0741
O -11.3790 1.0938 2.4578
O -9.2049 0.1907 0.5786
O -5.8945 0.9398 0.4454
Li -5.4838 -0.7732 1.6424
Li -10.5504 0.4083 -0.7695
O -3.8805 -1.3686 0.7763
Er -7.4550 -0.4809 -0.5270
Li -1.4859 0.1940 4.6199
O -2.8315 0.4116 3.2718
Er -4.5814 1.0832 4.3774
O -6.1419 -0.3376 3.4050
Er -9.5878 2.1764 1.4484
O -0.6574 -0.4916 1.3926
CELL_PARAMETERS angstrom
-10.4951 2.8933 -1.7153
-0.9435 -3.1672 0.4306
-0.5977 0.8761 5.1351
```

Compound: Li4Er2O5
Source: OQMD
Functional: PBE
Structure: relaxed Values from VASP.

**Magnetic moment**: 0.00 μB/f.u.
**Total energy**: -6.38 eV/atom
**Volume**: 131.33 Å³ per cell

Cell and atoms, written as Quantum ESPRESSO input:
```
&SYSTEM
  ibrav = 0, nat = 11, ntyp = 3
/
ATOMIC_SPECIES
Li 6.94 Li.upf
Er 167.26 Er.upf
O 16.00 O.upf
ATOMIC_POSITIONS angstrom
Li 0.0000 2.2135 2.2092
Er 2.1268 4.4270 2.2092
Li 2.5146 2.2135 0.0000
Er 4.5874 2.2135 2.2092
O 2.2372 2.2135 2.2092
O 4.4770 4.4269 2.2092
Li 0.0000 0.0000 0.0000
O 4.6082 2.2135 0.0000
O 0.0000 0.0000 2.2092
Li 4.1996 4.4269 0.0000
O 2.1061 4.4270 0.0000
CELL_PARAMETERS angstrom
0.0000 0.0000 4.4185
6.7142 2.2135 0.0000
0.0000 4.4269 0.0000
```

Compound: Li8Er4O11
Source: OQMD
Functional: PBE
Structure: relaxed Values from VASP.

**Energy above the most stable polymorph in this dataset**: 0.0000 eV per atom
**Magnetic moment**: 2.01 μB/f.u.
**Volume**: 262.14 Å³ per cell

Cell and atoms, written as Quantum ESPRESSO input:
```
&SYSTEM
  ibrav = 0, nat = 23, ntyp = 3
/
ATOMIC_SPECIES
O 16.00 O.upf
Li 6.94 Li.upf
Er 167.26 Er.upf
ATOMIC_POSITIONS angstrom
O 0.5945 2.7127 -7.8566
O 1.8282 -0.1395 -7.2086
Li -0.5755 3.9044 -6.5299
Er 5.2243 3.4571 -7.4873
Li -0.5519 1.2035 -3.4097
Li -1.1212 -1.2697 -4.8605
O 0.5992 -0.2705 -4.1304
Li -3.1937 1.5437 -2.5881
O -1.9577 2.8861 -1.7783
O 2.2536 2.3737 -5.2415
Er -1.9260 4.1000 -3.6724
Li -2.3312 -1.3919 -2.5105
O -3.8441 0.9398 -0.8205
Er -5.1547 -0.5235 -1.4813
O -2.6335 -2.1889 -0.6879
Er -2.3546 1.5720 -5.6015
O -1.3078 -2.7699 -3.3080
Li 2.0686 3.7414 -6.6505
O 0.9992 5.2279 -6.0336
Li 0.7593 1.4156 -6.2282
O -2.2862 0.1590 -3.7908
Li 1.8101 1.3044 -8.6778
O -0.6226 2.6717 -4.8452
CELL_PARAMETERS angstrom
6.3408 4.5088 -8.0562
-2.1907 -4.9679 -0.9226
-4.2107 3.1054 -0.1445
```

Compound: Li6Er2O7
Source: OQMD
Functional: PBE
Structure: relaxed Values from VASP.

**Magnetic moment**: 2.00 μB/f.u.
**Total energy**: -5.88 eV/atom
**Volume**: 170.76 Å³ per cell

Cell and atoms, written as Quantum ESPRESSO input:
```
&SYSTEM
  ibrav = 0, nat = 15, ntyp = 3
/
ATOMIC_SPECIES
Li 6.94 Li.upf
Er 167.26 Er.upf
O 16.00 O.upf
ATOMIC_POSITIONS angstrom
Li -2.0875 -4.0438 0.4662
Er -5.1212 0.0380 -1.3747
O -2.5681 -1.0787 2.8327
O -0.9573 -1.8680 0.0864
O -4.5048 -2.8607 -3.9308
O -3.2113 -1.0893 -1.7930
Li -4.2716 -0.1730 2.7333
O -6.1602 -1.9834 -1.2445
O -3.7910 -3.1381 0.3669
O -4.6593 -0.1962 0.7933
Li -1.2731 -1.5807 -1.8989
Li -2.8954 -1.3767 0.1922
Er -3.5076 -0.9582 -3.9828
Li -6.8779 -4.0131 -1.2763
Li -4.3222 -2.9677 -1.6790
CELL_PARAMETERS angstrom
-2.1906 -1.2595 4.9063
-4.4603 2.0371 -3.6508
-0.3807 -4.8011 -2.5040
```

Compound: LiErO2
Source: OQMD
Functional: PBE
Structure: relaxed Values from VASP.

**Energy above the most stable polymorph in this dataset**: 0.0815 eV per atom
**Magnetic moment**: 0.00 μB/f.u.
**Volume**: 47.00 Å³ per cell

Cell and atoms, written as Quantum ESPRESSO input:
```
&SYSTEM
  ibrav = 0, nat = 4, ntyp = 3
/
ATOMIC_SPECIES
Er 167.26 Er.upf
O 16.00 O.upf
Li 6.94 Li.upf
ATOMIC_POSITIONS angstrom
Er 0.0000 0.0000 0.0000
O 0.0000 0.0000 11.1056
O 0.0000 0.0000 3.7779
Li 0.0000 0.0000 7.4417
CELL_PARAMETERS angstrom
1.6537 0.9548 4.9612
-1.6537 0.9548 4.9612
0.0000 -1.9095 4.9612
```